The following is a PBE-GGA calculation of a relaxed Ta2CdTc crystal, from Alexandria via LeMat-Bulk.

Cell: 2.859 2.859 9.382 Å, 90.00 90.00 110.78°
Element x y z (fractional)
Ta: 0.000 0.000 0.013
Ta: 0.500 0.500 0.263
Tc: 0.000 0.000 0.483
Cd: 0.500 0.500 0.741

***

The following is a PBE-GGA calculation of a relaxed TaCd2Tc crystal, from Alexandria via LeMat-Bulk.

Distance to the lowest polymorph of the same formula ... 7.06 kJ/mol of atoms

Cell: 9.718 9.718 9.718 Å, 18.35 18.35 18.35°
Element x y z (fractional)
Ta: 0.488 0.488 0.488
Tc: 0.759 0.759 0.759
Cd: 0.245 0.245 0.245
Cd: 0.007 0.007 0.007

***

| no. | formation energy from the elements (eV/atom) |
| --- | --- |
| 1 | 0.107 |
| 2 | 0.169 |